#w
The following is a DFT calculation (PBE) of an optimized crystal structure of RbHAu2.

POSCAR file:
```
RbHAu2
1.0
-1.349 0.557 5.433
0.469 -5.564 0.687
5.103 -1.874 4.372
H Au Rb
2 4 2
direct
0.500 0.500 0.000
0.250 0.750 0.500
0.375 0.125 0.250
0.375 0.625 0.250
0.375 0.625 0.750
0.875 0.625 0.750
0.000 0.000 0.000
0.750 0.250 0.500
```

Summary:
**Density of states at the Fermi level**: 0.70 states/eV per cell
**Symmetry**: I4_1/amd (141)
**Volume**: 181.38 Å³ per cell

=====

#x
The following is a DFT calculation (PBE) of an optimized crystal structure of RbHAu2.

POSCAR file:
```
RbHAu2
1.0
3.640 -2.636 2.524
-0.709 -1.289 4.940
-0.810 -4.925 1.288
H Au Rb
1 2 1
direct
0.000 0.000 0.000
0.250 0.250 0.250
0.750 0.750 0.750
0.500 0.500 0.500
```

Summary:
**Density of states at the Fermi level**: 2.84 states/eV per cell
**Symmetry**: Fm-3m (225)
**Volume**: 96.84 Å³ per cell

=====

How far above the most stable structure does each one sit? In meV/atom: #w 0; #x 893.